# 1
Cr2AgPt | PBE-GGA | optimized geometry

Lattice parameters (Å, degrees): 4.8476 4.8476 4.8476 131.85 131.85 70.46
Last column: nearest neighbours and their distance in Å.
Element x y z (fractional)
Cr: 0.0000 0.0000 0.0000  4 Ag 2.80, 4 Cr 2.80, 4 Pt 2.80
Cr: 0.7500 0.2500 0.5000  4 Pt 2.80, 4 Cr 2.80, 4 Ag 2.80
Ag: 0.5000 0.5000 0.0000  8 Cr 2.80, 4 Pt 2.80
Pt: 0.2500 0.7500 0.5000  8 Cr 2.80, 4 Ag 2.80

# 2
CrAgPt | PBE-GGA | optimized geometry

Results
* ΔE to the lowest computed polymorph: 0.000 eV per formula unit

Lattice parameters (Å, degrees): 5.0829 5.0829 5.0829 146.96 137.56 54.81
Last column: nearest neighbours and their distance in Å.
Element x y z (fractional)
Cr: 0.0000 0.0000 0.0000  4 Pt 2.63, 5 Ag 2.85-2.89, 2 Cr 2.89
Ag: 0.6802 0.6802 0.0000  5 Pt 2.84-2.88, 5 Cr 2.85-2.89, 2 Ag 2.89
Pt: 0.3657 0.3657 0.0000  4 Cr 2.63, 5 Ag 2.84-2.88, 2 Pt 2.89

no.,E (eV/cell),ΔH_f (0 K) (eV per atom)
1,-27.6,0.1279
2,-18.2,0.1073